! PBE CsCuTe2O8, relaxed; values from VASP
&SYSTEM
  ibrav = 0, nat = 12, ntyp = 4
/
ATOMIC_SPECIES
Cs 132.91 Cs.upf
Cu 63.55 Cu.upf
Te 127.60 Te.upf
O 16.00 O.upf
CELL_PARAMETERS angstrom
-4.810 0.397 2.042
3.360 -3.554 1.882
3.176 6.312 6.251
ATOMIC_POSITIONS crystal
Cs 0.000 0.000 0.000
Cu 0.000 0.000 0.500
Te 0.667 0.333 0.320
Te 0.333 0.667 0.680
O 0.333 0.667 0.873
O 0.309 0.303 0.375
O 0.697 0.006 0.375
O 0.667 0.333 0.127
O 0.303 0.994 0.625
O 0.691 0.697 0.625
O 0.006 0.309 0.625
O 0.994 0.691 0.375
! - SG: P-3, No. 147
! - ρ: 4.29 g cm⁻³
! - Raw formation energy: -0.81 eV per atom